Entry 1:
4
Lattice="-2.002 2.002 4.052 2.002 -2.002 4.052 2.002 2.002 -4.052" Properties=species:S:1:pos:R:3 comment="ScCuPdAu GGA-PBE optimized geometry" rho_g_cm3=10.5 total_energy_ev_per_atom=-5.3304 delta_e_f_ev_per_atom=-0.61 pbc="T T T"
Sc 0.000 0.000 0.000
Cu 0.000 0.000 4.052
Pd 0.000 2.002 2.026
Au 2.002 0.000 2.026

---

Entry 2:
5
Lattice="4.612 0.000 0.000 0.000 4.612 0.000 0.000 0.000 4.644" Properties=species:S:1:pos:R:3 comment="ScCuPd2Au GGA-PBE optimized geometry" rho_g_cm3=8.7 total_energy_ev_per_atom=-4.5587 delta_e_f_ev_per_atom=0.26 pbc="T T T"
Sc 0.000 0.000 0.000
Cu 0.000 0.000 2.322
Pd 0.000 2.306 2.322
Pd 2.306 0.000 2.322
Au 2.306 2.306 0.000

---

Entry 3:
5
Lattice="4.844 0.000 0.000 0.000 4.844 0.000 0.000 0.000 4.766" Properties=species:S:1:pos:R:3 comment="CuPdAuSe2 GGA-PBE optimized geometry" rho_g_cm3=7.8 total_energy_ev_per_atom=-3.3359 e_form_raw_ev_per_atom=0.571 pbc="T T T"
Cu 0.000 0.000 0.000
Pd 0.000 0.000 2.383
Au 2.422 2.422 0.000
Se 0.000 2.422 2.383
Se 2.422 0.000 2.383

---

Entry 4:
4
Lattice="0.000 3.079 3.079 3.079 0.000 3.079 3.079 3.079 0.000" Properties=species:S:1:pos:R:3 comment="CuSiPdAu GGA-PBE optimized geometry" rho_g_cm3=11.2 total_energy_ev_per_atom=-4.6292 e_form_raw_ev_per_atom=-0.132 pbc="T T T"
Cu 0.000 0.000 0.000
Si 3.079 3.079 3.079
Pd 1.540 1.540 1.540
Au 4.619 4.619 4.619